[1]
Computed, not measured: LaSmZr after structural relaxation at the PBE-GGA level of DFT.

Lattice parameters (Å, degrees): 3.4328 3.4328 15.4705 90.00 90.00 90.00
With the nearest neighbours (Å) after each atom.
Space group I4mm (No. 107)
Symmetry-distinct sites (fractional):
La 0.0000 0.0000 0.0000 (multiplicity 2)  4 La 3.43, 4 Zr 3.46, 4 Sm 3.83
Sm 0.0000 0.0000 0.3087 (multiplicity 2)  4 Zr 3.35, 4 Sm 3.43
Zr 0.0000 0.0000 0.6591 (multiplicity 2)  4 Sm 3.35, 4 Zr 3.43, 4 La 3.46

- Formation energy from the elements: 0.119 eV/atom
- Raw total energy: -35.7 eV/cell


[2]
Computed, not measured: Fe25Mo4 after structural relaxation at the PBE-GGA level of DFT.

Lattice parameters (Å, degrees): 8.8459 8.8459 8.8459 90.00 90.00 90.00
With the nearest neighbours (Å) after each atom.
Space group I-43m (No. 217)
Symmetry-distinct sites (fractional):
Fe 0.0000 0.0000 0.0000 (multiplicity 2)  12 Fe 2.76, 4 Mo 2.80
Fe 0.0416 0.3627 0.6373 (multiplicity 24)  7 Fe 2.36-2.59, 1 Mo 2.50
Fe 0.0932 0.0932 0.7173 (multiplicity 24)  8 Fe 2.33-2.59
Mo 0.1830 0.1830 0.1830 (multiplicity 8)  9 Fe 2.50-2.72

- Formation energy from the elements: 0.072 eV/atom
- Raw total energy: -505.6 eV/cell


[3]
Computed, not measured: Pr2ScAs4Pd3 after structural relaxation at the PBE-GGA level of DFT.

Lattice parameters (Å, degrees): 4.4125 4.4125 10.6416 90.00 90.00 90.00
With the nearest neighbours (Å) after each atom.
Space group P-4m2 (No. 115)
Symmetry-distinct sites (fractional):
Pr 0.0000 0.5000 0.2262 (multiplicity 2)  8 As 3.27-3.42, 6 Pd 3.31-3.65, 2 Sc 3.65
Sc 0.0000 0.0000 0.5000 (multiplicity 1)  4 As 2.68
As 0.0000 0.0000 0.0000 (multiplicity 1)  4 Pd 2.56
As 0.0000 0.5000 0.6431 (multiplicity 2)  3 Pd 2.50-2.68, 2 Sc 2.68
As 0.5000 0.5000 0.0000 (multiplicity 1)  4 Pd 2.56
Pd 0.0000 0.5000 0.8779 (multiplicity 2)  5 As 2.50-2.56
Pd 0.5000 0.5000 0.5000 (multiplicity 1)  4 As 2.68

- Formation energy from the elements: -0.964 eV/atom
- Raw total energy: -59.7 eV/cell


[4]
Computed, not measured: Dy2Ni15Pt2 after structural relaxation at the PBE-GGA level of DFT.

Lattice parameters (Å, degrees): 8.4027 8.4027 12.2048 90.00 90.00 120.00
With the nearest neighbours (Å) after each atom.
Space group R-3m (No. 166, hexagonal axes)
Symmetry-distinct sites (fractional):
Dy 0.0000 0.0000 0.1562 (multiplicity 6)  1 Pt 2.87, 15 Ni 2.96-3.18
Ni 0.0000 0.2969 0.5000 (multiplicity 18)  8 Ni 2.40-2.54
Ni 0.0000 0.5000 0.0000 (multiplicity 9)  8 Ni 2.40-2.45, 2 Pt 2.53
Ni 0.0056 0.5028 0.6540 (multiplicity 18)  8 Ni 2.40-2.54, 1 Pt 2.61
Pt 0.0000 0.0000 0.3912 (multiplicity 6)  12 Ni 2.53-2.83, 1 Pt 2.66

- Formation energy from the elements: -0.248 eV/atom
- Raw total energy: -338.2 eV/cell